Ti6Co5Ir | the Alexandria database | PBE-GGA | optimized geometry; volume = 163 Å³/f.u.; calculated formation energy = -0.471 eV/atom; N(E_F) = 0.925 states/eV per atom; calculated total energy = -97.41 eV per cell
1.0
-1.6208 -3.0459 -2.4811
3.8599 -3.9893 2.3761
-5.3722 2.0966 4.5751
Ir Co Ti
1 5 6
direct
0.0000 0.0000 0.0000
0.3345 0.8345 0.6690
0.6665 0.6665 0.3330
0.0000 0.5000 0.0000
0.3335 0.3335 0.6670
0.6655 0.1655 0.3310
0.1698 0.4233 0.3396
0.1698 0.9163 0.3396
0.5000 0.2575 0.0000
0.5000 0.7425 0.0000
0.8302 0.0837 0.6604
0.8302 0.5767 0.6604